This record from Alexandria describes an optimized crystal structure of AsHPd. The functional is GGA-PBE.

Crystal system: tetragonal
Energy above the lowest structure with this stoichiometry: 11.26 kJ/mol of atoms

a = 3.6750 Å, b = 3.6750 Å, c = 6.1683 Å
α = 90.00°, β = 90.00°, γ = 90.00°
Closest atoms and distances in Å follow each position.
Atoms (fractional coordinates):
1 As 0.0000 0.0000 0.0000  1 H 1.74
2 As 0.5000 0.5000 0.5000  1 H 1.74
3 H 0.0000 0.0000 0.7175  1 Pd 1.71, 1 As 1.74
4 H 0.5000 0.5000 0.2175  1 Pd 1.71, 1 As 1.74
5 Pd 0.0000 0.0000 0.4409  1 H 1.71
6 Pd 0.5000 0.5000 0.9409  1 H 1.71